Here is a relaxed NdAs3Rh5 crystal from the Alexandria database. Energies are from PBE.

Properties
Uncorrected energy: -6.788 eV per atom
N(E_F): 5.05 states/eV/f.u.
Calculated formation energy: -624.6 meV per atom

a = 3.990 Å, b = 12.588 Å, c = 12.564 Å
α = 90.00°, β = 90.00°, γ = 90.00°
Space group Cmcm (No. 63)
Symmetry-distinct sites (fractional):
Nd 0.000 0.153 0.250
As 0.000 0.111 0.750
As 0.000 0.386 0.546
Rh 0.000 0.000 0.000
Rh 0.000 0.204 0.575
Rh 0.000 0.442 0.141

Here is a relaxed Nd3As2Rh5 crystal from the Alexandria database. Energies are from PBE.

Properties
Uncorrected energy: -6.575 eV per atom
N(E_F): 10.02 states/eV/f.u.
Calculated formation energy: -539.3 meV per atom

a = 11.166 Å, b = 12.624 Å, c = 5.854 Å
α = 90.00°, β = 90.00°, γ = 90.00°
Space group Ibam (No. 72)
Symmetry-distinct sites (fractional):
Nd 0.000 0.000 0.250
Nd 0.204 0.378 0.000
As 0.160 0.143 0.000
Rh 0.000 0.232 0.250
Rh 0.000 0.500 0.250
Rh 0.128 0.368 0.500

Here is a relaxed Nd2As2Rh5 crystal from the Alexandria database. Energies are from PBE.

Properties
Uncorrected energy: -6.925 eV per atom
N(E_F): 4.22 states/eV/f.u.
Calculated formation energy: -747.9 meV per atom

a = 4.290 Å, b = 4.290 Å, c = 8.949 Å
α = 90.00°, β = 90.00°, γ = 90.00°
Space group P4/mmm (No. 123)
Symmetry-distinct sites (fractional):
Nd 0.000 0.000 0.000
Nd 0.000 0.000 0.500
As 0.500 0.500 0.151
Rh 0.000 0.500 0.267
Rh 0.500 0.500 0.500

Here is a relaxed Nd2As2Rh crystal from the Alexandria database. Energies are from PBE.

Properties
Uncorrected energy: -6.374 eV per atom
N(E_F): 1.75 states/eV/f.u.
Calculated formation energy: -1136.8 meV per atom

a = 11.048 Å, b = 4.250 Å, c = 10.912 Å
α = 90.00°, β = 114.63°, γ = 90.00°
Space group C2/m (No. 12)
Symmetry-distinct sites (fractional):
Nd 0.080 0.000 0.390
Nd 0.193 0.500 0.145
As 0.063 0.000 0.922
As 0.161 0.500 0.634
Rh 0.067 0.500 0.813

Here is a relaxed NdAsRh2 crystal from the Alexandria database. Energies are from PBE.

Properties
Uncorrected energy: -6.921 eV per atom
N(E_F): 1.59 states/eV/f.u.
Calculated formation energy: -890.5 meV per atom

a = 4.067 Å, b = 18.570 Å, c = 4.084 Å
α = 90.00°, β = 90.00°, γ = 90.00°
Space group Cmcm (No. 63)
Symmetry-distinct sites (fractional):
Nd 0.000 0.099 0.250
As 0.000 0.327 0.250
Rh 0.000 0.250 0.750
Rh 0.000 0.457 0.250

Here is a relaxed NdAsRh3 crystal from the Alexandria database. Energies are from PBE.

Properties
Offset from the most stable computed form: 0.093 eV/atom
Uncorrected energy: -6.896 eV per atom
N(E_F): 2.72 states/eV/f.u.
Calculated formation energy: -602.1 meV per atom

a = 5.483 Å, b = 7.685 Å, c = 8.618 Å
α = 90.00°, β = 90.00°, γ = 90.00°
Space group Imma (No. 74)
Symmetry-distinct sites (fractional):
Nd 0.000 0.250 0.005
As 0.000 0.000 0.500
Rh 0.000 0.250 0.675
Rh 0.250 0.044 0.250